Entry 1:
GGA-PBE AcH7Pt2, relaxed; electronic total energy = -4.22 eV per atom
1.0
2.4694 -5.3084 0.0000
2.4694 5.3084 0.0000
0.0000 0.0000 3.7308
Ac H Pt
1 7 2
Direct
0.0000 0.0000 0.0000
0.0187 0.3046 0.5000
0.3046 0.0187 0.5000
0.3361 0.6639 0.0000
0.5000 0.5000 0.5000
0.6639 0.3361 0.0000
0.6954 0.9813 0.5000
0.9813 0.6954 0.5000
0.3306 0.6694 0.5000
0.6694 0.3306 0.5000

---

Entry 2:
GGA-PBE Ac3HPt2, relaxed; electronic total energy = -5.54 eV per atom
1.0
8.7436 0.0000 0.0000
0.0000 4.2694 0.0000
0.0000 0.0000 17.5026
Ac H Pt
12 4 8
Direct
0.0247 0.2500 0.1010
0.1339 0.7500 0.4284
0.1672 0.2500 0.7281
0.3328 0.7500 0.2281
0.3661 0.2500 0.9284
0.4753 0.7500 0.6010
0.5247 0.2500 0.3990
0.6339 0.7500 0.0716
0.6672 0.2500 0.7719
0.8328 0.7500 0.2719
0.8661 0.2500 0.5716
0.9753 0.7500 0.8990
0.1089 0.2500 0.8685
0.3911 0.7500 0.3685
0.6089 0.2500 0.6315
0.8911 0.7500 0.1315
0.1034 0.2500 0.2837
0.2458 0.2500 0.5399
0.2542 0.7500 0.0399
0.3966 0.7500 0.7837
0.6034 0.2500 0.2163
0.7458 0.2500 0.9601
0.7542 0.7500 0.4601
0.8966 0.7500 0.7163

---

Entry 3:
GGA-PBE Ac3HPt8, relaxed; electronic total energy = -6.22 eV per atom
1.0
2.8005 1.6169 9.1599
-2.8005 1.6169 9.1599
0.0000 -3.2337 9.1599
Ac H Pt
3 1 8
Direct
0.0000 0.0000 0.0000
0.1322 0.1322 0.1322
0.6067 0.6067 0.6067
0.4220 0.4220 0.4220
0.0499 0.5645 0.5645
0.0581 0.0581 0.5660
0.0581 0.5660 0.0581
0.3098 0.3098 0.3098
0.5645 0.0499 0.5645
0.5645 0.5645 0.0499
0.5660 0.0581 0.0581
0.8111 0.8111 0.8111

---

Entry 4:
GGA-PBE AcH3Pt, relaxed; offset from the most stable computed form = 27.1 meV per atom
1.0
3.9399 0.0000 0.0000
0.0000 3.9399 0.0000
0.0000 0.0000 3.9399
Ac H Pt
1 3 1
Direct
0.0000 0.0000 0.0000
0.0000 0.5000 0.5000
0.5000 0.0000 0.5000
0.5000 0.5000 0.0000
0.5000 0.5000 0.5000

---

Entry 5:
GGA-PBE AcH6Pt2Rh, relaxed; electronic total energy = -4.75 eV per atom
1.0
4.9182 0.0000 0.0000
-2.4477 4.2833 0.0000
-0.0087 -2.8446 5.0709
Ac H Pt Rh
1 6 2 1
Direct
0.0000 0.0000 0.0000
0.1234 0.6836 0.2435
0.4389 0.3170 0.7562
0.4403 0.8803 0.7563
0.5597 0.1197 0.2437
0.5611 0.6830 0.2438
0.8766 0.3164 0.7565
0.2104 0.4234 0.6320
0.7896 0.5766 0.3680
0.5000 0.0000 0.5000

---

Entry 6:
GGA-PBE AcH8Pt2Rh3, relaxed; electronic total energy = -4.85 eV per atom
1.0
2.8981 1.6732 4.7521
-2.8981 1.6732 4.7521
0.0000 -3.3465 4.7521
Ac H Pt Rh
1 8 2 3
Direct
0.0000 0.0000 0.0000
0.1212 0.6693 0.6693
0.1635 0.1635 0.1635
0.1635 0.1635 0.5016
0.1635 0.5016 0.1635
0.5016 0.1635 0.1635
0.6152 0.6152 0.6152
0.6693 0.1212 0.6693
0.6693 0.6693 0.1212
0.3788 0.3788 0.3788
0.7459 0.7459 0.7459
0.3751 0.3751 0.8662
0.3751 0.8662 0.3751
0.8662 0.3751 0.3751

---

Entry 7:
GGA-PBE AcH6RuPt, relaxed; electronic total energy = -4.67 eV per atom
1.0
4.8850 0.0000 0.0000
-2.4425 4.2306 0.0000
0.0000 0.0000 4.4943
Ac H Ru Pt
1 6 1 1
Direct
0.0000 0.0000 0.0000
0.5089 0.0178 0.2471
0.5089 0.0178 0.7529
0.5089 0.4911 0.2471
0.5089 0.4911 0.7529
0.9822 0.4911 0.2471
0.9822 0.4911 0.7529
0.6667 0.3333 0.5000
0.3333 0.6667 0.5000

---

Entry 8:
GGA-PBE AcSb2H2Pt6, relaxed; electronic total energy = -5.45 eV per atom
1.0
5.6834 0.0000 0.0000
-1.6646 5.4739 0.0000
-1.3345 -1.6821 6.3979
Ac Sb H Pt
1 2 2 6
Direct
0.0000 0.0000 0.0000
0.4665 0.6905 0.2224
0.5335 0.3095 0.7776
0.1089 0.7287 0.6650
0.8911 0.2713 0.3350
0.1505 0.4941 0.8462
0.2154 0.9037 0.4785
0.2351 0.3998 0.4382
0.7649 0.6002 0.5618
0.7846 0.0963 0.5215
0.8495 0.5059 0.1538